Record 1
This record from Alexandria describes a relaxed structure of GeAsC2. The functional is PBE-GGA.

abc: 5.766 5.766 5.766
angles: 132.18 132.18 69.95
Fractional coordinates of all 8 atoms:
Ge: 0.000 0.000 0.000
Ge: 0.750 0.250 0.500
As: 0.250 0.750 0.500
As: 0.500 0.500 0.000
C: 0.116 0.625 0.991
C: 0.375 0.366 0.491
C: 0.634 0.125 0.009
C: 0.875 0.884 0.509

SG: I-42d (122)
DOS at the Fermi energy: 4.4 states/eV per cell
energy of formation from the pure elements: 1.030 eV/atom
electronic total energy: -47.19 eV per cell
total magnetization: 0.0000 μB/atom

---

Record 2
This record from Alexandria describes a relaxed structure of Nb4V3Mo4. The functional is PBE-GGA.

abc: 2.797 4.436 14.457
angles: 81.20 85.94 89.91
Fractional coordinates of all 11 atoms:
Nb: 0.192 0.275 0.450
Nb: 0.277 0.911 0.178
Nb: 0.723 0.089 0.822
Nb: 0.808 0.725 0.550
V: 0.000 0.000 0.000
V: 0.111 0.634 0.731
V: 0.889 0.366 0.269
Mo: 0.365 0.544 0.912
Mo: 0.455 0.179 0.642
Mo: 0.545 0.821 0.358
Mo: 0.635 0.456 0.088

SG: P-1 (2)
DOS at the Fermi energy: 12.0 states/eV per cell
energy of formation from the pure elements: -0.054 eV/atom
electronic total energy: -111.56 eV per cell
total magnetization: 0.0000 μB/atom

---

Record 3
This record from Alexandria describes a relaxed structure of HfZnH8Ir2. The functional is PBE-GGA.

abc: 4.675 4.675 5.724
angles: 108.11 108.11 52.60
Fractional coordinates of all 12 atoms:
Hf: 0.000 0.000 0.000
Zn: 0.500 0.500 0.500
H: 0.117 0.594 0.169
H: 0.207 0.207 0.348
H: 0.404 0.404 0.862
H: 0.406 0.883 0.831
H: 0.594 0.117 0.169
H: 0.596 0.596 0.138
H: 0.793 0.793 0.652
H: 0.883 0.406 0.831
Ir: 0.198 0.198 0.649
Ir: 0.802 0.802 0.351

SG: C2/m (12)
DOS at the Fermi energy: 1.8 states/eV per cell
electronic total energy: -55.88 eV per cell
total magnetization: 0.0000 μB/atom

---

Record 4
This record from Alexandria describes a relaxed structure of MgSc2N. The functional is PBE-GGA.

abc: 6.149 6.149 6.149
angles: 116.54 116.54 96.11
Fractional coordinates of all 8 atoms:
Mg: 0.000 0.000 0.000
Mg: 0.750 0.250 0.500
Sc: 0.259 0.625 0.134
Sc: 0.375 0.509 0.634
Sc: 0.491 0.125 0.866
Sc: 0.875 0.741 0.366
N: 0.250 0.750 0.500
N: 0.500 0.500 0.000

SG: I-42d (122)
formation energy (no corrections): -583 meV per atom
DOS at the Fermi energy: 8.0 states/eV per cell
electronic total energy: -49.83 eV per cell
total magnetization: 0.0000 μB/atom

---

Record 5
This record from Alexandria describes a relaxed structure of Pa3Tc6P5. The functional is PBE-GGA.

abc: 4.041 12.220 9.474
angles: 90.00 90.00 90.00
Fractional coordinates of all 28 atoms:
Pa: 0.250 0.089 0.248
Pa: 0.250 0.411 0.248
Pa: 0.250 0.750 0.257
Pa: 0.750 0.250 0.743
Pa: 0.750 0.589 0.752
Pa: 0.750 0.911 0.752
Tc: 0.250 0.056 0.592
Tc: 0.250 0.250 0.457
Tc: 0.250 0.250 0.976
Tc: 0.250 0.444 0.592
Tc: 0.250 0.577 0.014
Tc: 0.250 0.923 0.014
Tc: 0.750 0.077 0.986
Tc: 0.750 0.423 0.986
Tc: 0.750 0.556 0.408
Tc: 0.750 0.750 0.024
Tc: 0.750 0.750 0.543
Tc: 0.750 0.944 0.408
P: 0.250 0.080 0.844
P: 0.250 0.420 0.844
P: 0.250 0.628 0.523
P: 0.250 0.750 0.890
P: 0.250 0.872 0.523
P: 0.750 0.128 0.477
P: 0.750 0.250 0.110
P: 0.750 0.372 0.477
P: 0.750 0.580 0.156
P: 0.750 0.920 0.156

SG: Pmmn (59)
DOS at the Fermi energy: 29.3 states/eV per cell
energy of formation from the pure elements: -0.781 eV/atom
electronic total energy: -257.34 eV per cell
total magnetization: 0.0000 μB/atom

---

Record 6
This record from Alexandria describes a relaxed structure of TeAs2Pt. The functional is PBE-GGA.

abc: 4.900 3.777 5.011
angles: 90.00 113.64 90.00
Fractional coordinates of all 4 atoms:
Te: 0.000 0.000 0.000
As: 0.270 0.500 0.692
As: 0.730 0.500 0.308
Pt: 0.500 0.000 0.500

SG: P2/m (10)
formation energy (no corrections): -149 meV per atom
DOS at the Fermi energy: 1.5 states/eV per cell
electronic total energy: -19.08 eV per cell
total magnetization: 0.0000 μB/atom

---

Record 7
This record from Alexandria describes a relaxed structure of AlSnSbRh2. The functional is PBE-GGA.

abc: 4.914 4.914 5.045
angles: 90.00 90.00 90.00
Fractional coordinates of all 5 atoms:
Al: 0.000 0.000 0.000
Sn: 0.500 0.500 0.000
Sb: 0.000 0.000 0.500
Rh: 0.000 0.500 0.500
Rh: 0.500 0.000 0.500

SG: P4/mmm (123)
formation energy (no corrections): 690 meV per atom
DOS at the Fermi energy: 3.2 states/eV per cell
electronic total energy: -23.12 eV per cell
total magnetization: 0.0000 μB/atom

---

Record 8
This record from Alexandria describes a relaxed structure of CoIr2Os. The functional is PBE-GGA.

abc: 5.307 5.307 5.307
angles: 150.26 131.22 58.18
Fractional coordinates of all 4 atoms:
Co: 0.000 0.000 0.000
Ir: 0.225 0.725 0.500
Ir: 0.513 0.513 0.000
Os: 0.784 0.284 0.500

SG: Imm2 (44)
DOS at the Fermi energy: 5.2 states/eV per cell
energy of formation from the pure elements: 0.312 eV/atom
electronic total energy: -34.81 eV per cell
total magnetization: 0.2013 μB/atom

---

Record 9
This record from Alexandria describes a relaxed structure of SrLi2CdAg4. The functional is PBE-GGA.

abc: 10.017 10.017 10.017
angles: 26.52 26.52 26.52
Fractional coordinates of all 8 atoms:
Sr: 0.000 0.000 0.000
Li: 0.230 0.230 0.230
Li: 0.770 0.770 0.770
Cd: 0.500 0.500 0.500
Ag: 0.121 0.121 0.121
Ag: 0.404 0.404 0.404
Ag: 0.596 0.596 0.596
Ag: 0.879 0.879 0.879

SG: R-3m (166)
DOS at the Fermi energy: 3.2 states/eV per cell
energy of formation from the pure elements: -0.169 eV/atom
electronic total energy: -19.18 eV per cell
total magnetization: 0.0000 μB/atom

---

Record 10
This record from Alexandria describes a relaxed structure of Ce2HoC. The functional is PBE-GGA.

abc: 3.223 3.223 8.711
angles: 90.00 90.00 90.00
Fractional coordinates of all 4 atoms:
Ce: 0.000 0.000 0.156
Ce: 0.000 0.000 0.844
Ho: 0.500 0.500 0.500
C: 0.500 0.500 0.000

SG: P4/mmm (123)
DOS at the Fermi energy: 6.8 states/eV per cell
energy of formation from the pure elements: 0.136 eV/atom
electronic total energy: -25.13 eV per cell
total magnetization: 0.0003 μB/atom

---

Record 11
This record from Alexandria describes a relaxed structure of Sc5Pt2O. The functional is PBE-GGA.

abc: 7.246 7.246 11.128
angles: 90.00 90.00 143.91
Fractional coordinates of all 16 atoms:
Sc: 0.077 0.923 0.606
Sc: 0.077 0.923 0.894
Sc: 0.294 0.706 0.250
Sc: 0.304 0.696 0.578
Sc: 0.304 0.696 0.922
Sc: 0.696 0.304 0.078
Sc: 0.696 0.304 0.422
Sc: 0.706 0.294 0.750
Sc: 0.923 0.077 0.106
Sc: 0.923 0.077 0.394
Pt: 0.114 0.886 0.131
Pt: 0.114 0.886 0.369
Pt: 0.886 0.114 0.631
Pt: 0.886 0.114 0.869
O: 0.187 0.813 0.750
O: 0.813 0.187 0.250

SG: Cmcm (63)
formation energy (no corrections): -1065 meV per atom
DOS at the Fermi energy: 11.3 states/eV per cell
electronic total energy: -114.44 eV per cell
total magnetization: 0.0000 μB/atom

---

Record 12
This record from Alexandria describes a relaxed structure of ReBIr. The functional is PBE-GGA.

abc: 5.063 5.063 5.063
angles: 148.49 148.49 45.16
Fractional coordinates of all 3 atoms:
Re: 0.000 0.000 0.000
B: 0.641 0.641 0.000
Ir: 0.286 0.286 0.000

SG: I4mm (107)
DOS at the Fermi energy: 2.3 states/eV per cell
energy of formation from the pure elements: 0.003 eV/atom
electronic total energy: -27.98 eV per cell
total magnetization: 0.0000 μB/atom

---

Record 13
This record from Alexandria describes a relaxed structure of Ru2PbS. The functional is PBE-GGA.

abc: 4.537 4.537 4.537
angles: 60.00 60.00 60.00
Fractional coordinates of all 4 atoms:
Ru: 0.250 0.250 0.250
Ru: 0.750 0.750 0.750
Pb: 0.000 0.000 0.000
S: 0.500 0.500 0.500

SG: Fm-3m (225)
formation energy (no corrections): 627 meV per atom
DOS at the Fermi energy: 5.1 states/eV per cell
electronic total energy: -23.88 eV per cell
total magnetization: 0.0000 μB/atom

---

Record 14
This record from Alexandria describes a relaxed structure of LaAgRu2. The functional is PBE-GGA.

abc: 2.857 4.269 6.257
angles: 90.00 90.00 90.00
Fractional coordinates of all 4 atoms:
La: 0.000 0.000 0.000
Ag: 0.000 0.000 0.500
Ru: 0.500 0.500 0.299
Ru: 0.500 0.500 0.701

SG: Pmmm (47)
DOS at the Fermi energy: 5.7 states/eV per cell
energy of formation from the pure elements: 0.450 eV/atom
electronic total energy: -24.53 eV per cell
total magnetization: 0.0207 μB/atom

---

Record 15
This record from Alexandria describes a relaxed structure of HfOsSe2. The functional is PBE-GGA.

abc: 8.780 8.780 8.780
angles: 22.00 22.00 22.00
Fractional coordinates of all 4 atoms:
Hf: 0.000 0.000 0.000
Os: 0.500 0.500 0.500
Se: 0.104 0.104 0.104
Se: 0.896 0.896 0.896

SG: R-3m (166)
formation energy (no corrections): 250 meV per atom
DOS at the Fermi energy: 5.2 states/eV per cell
electronic total energy: -27.15 eV per cell
total magnetization: 0.1076 μB/atom

---

Record 16
This record from Alexandria describes a relaxed structure of AlCr2Cd. The functional is PBE-GGA.

abc: 5.146 5.146 4.542
angles: 116.07 116.07 35.10
Fractional coordinates of all 4 atoms:
Al: 0.000 0.000 0.000
Cr: 0.458 0.458 0.458
Cr: 0.758 0.758 0.259
Cd: 0.229 0.229 0.729

SG: Cm (8)
DOS at the Fermi energy: 2.0 states/eV per cell
energy of formation from the pure elements: 0.250 eV/atom
electronic total energy: -22.91 eV per cell
total magnetization: 0.0403 μB/atom

---

Record 17
This record from Alexandria describes a relaxed structure of Ac4LaIr4. The functional is PBE-GGA.

abc: 11.095 11.095 6.046
angles: 105.09 105.09 22.77
Fractional coordinates of all 9 atoms:
Ac: 0.107 0.107 0.110
Ac: 0.305 0.305 0.305
Ac: 0.695 0.695 0.695
Ac: 0.893 0.893 0.890
La: 0.500 0.500 0.500
Ir: 0.086 0.086 0.590
Ir: 0.300 0.300 0.800
Ir: 0.700 0.700 0.200
Ir: 0.914 0.914 0.410

SG: C2/m (12)
DOS at the Fermi energy: 4.2 states/eV per cell
energy of formation from the pure elements: -0.560 eV/atom
electronic total energy: -61.84 eV per cell
total magnetization: 0.0000 μB/atom

---

Record 18
This record from Alexandria describes a relaxed structure of Pr2GaGeRu. The functional is PBE-GGA.

abc: 4.403 4.403 13.239
angles: 90.00 90.00 90.00
Fractional coordinates of all 10 atoms:
Pr: 0.250 0.250 0.116
Pr: 0.250 0.250 0.657
Pr: 0.750 0.750 0.343
Pr: 0.750 0.750 0.884
Ga: 0.250 0.250 0.403
Ga: 0.750 0.750 0.597
Ge: 0.250 0.250 0.886
Ge: 0.750 0.750 0.114
Ru: 0.250 0.750 0.500
Ru: 0.750 0.250 0.500

SG: P4/nmm (129)
DOS at the Fermi energy: 9.5 states/eV per cell
energy of formation from the pure elements: -0.539 eV/atom
electronic total energy: -58.35 eV per cell
total magnetization: 0.0000 μB/atom

---

Record 19
This record from Alexandria describes a relaxed structure of CdSn3I. The functional is PBE-GGA.

abc: 5.650 5.650 5.650
angles: 90.00 90.00 90.00
Fractional coordinates of all 5 atoms:
Cd: 0.000 0.000 0.000
Sn: 0.000 0.000 0.500
Sn: 0.000 0.500 0.000
Sn: 0.500 0.000 0.000
I: 0.500 0.500 0.500

SG: Pm-3m (221)
formation energy (no corrections): 451 meV per atom
DOS at the Fermi energy: 5.2 states/eV per cell
electronic total energy: -12.22 eV per cell
total magnetization: 0.0000 μB/atom

---

Record 20
This record from Alexandria describes a relaxed structure of Ac3Ni3Ge. The functional is PBE-GGA.

abc: 8.754 8.754 5.892
angles: 90.00 90.00 120.00
Fractional coordinates of all 14 atoms:
Ac: 0.061 0.362 0.250
Ac: 0.301 0.939 0.250
Ac: 0.362 0.301 0.750
Ac: 0.638 0.699 0.250
Ac: 0.699 0.061 0.750
Ac: 0.939 0.638 0.750
Ni: 0.076 0.388 0.750
Ni: 0.312 0.924 0.750
Ni: 0.388 0.312 0.250
Ni: 0.612 0.688 0.750
Ni: 0.688 0.076 0.250
Ni: 0.924 0.612 0.250
Ge: 0.333 0.667 0.750
Ge: 0.667 0.333 0.250

SG: P6_3/m (176)
DOS at the Fermi energy: 11.3 states/eV per cell
energy of formation from the pure elements: -0.223 eV/atom
electronic total energy: -71.69 eV per cell
total magnetization: 0.0000 μB/atom